BiAuSI2 (PBE-GGA, relaxed); Fermi-level density of states = 3.08 states/eV per cell; calculated total energy = -0.08928 Ha/atom
1.0
5.811 0.000 0.000
0.000 5.811 0.000
0.000 0.000 4.655
Bi Au S I
1 1 1 2
Direct
0.000 0.000 0.000
0.500 0.500 0.000
0.500 0.500 0.500
0.000 0.500 0.500
0.500 0.000 0.500

---

BiSb2AuI (PBE-GGA, relaxed); Fermi-level density of states = 4.39 states/eV per cell; calculated total energy = -0.08924 Ha/atom
1.0
5.925 0.000 0.000
0.000 5.925 0.000
0.000 0.000 5.999
Bi Sb Au I
1 2 1 1
Direct
0.000 0.000 0.000
0.000 0.500 0.000
0.500 0.000 0.000
0.500 0.500 0.500
0.000 0.000 0.500